Run 1
Al2FeRu2 | GGA-PBE | relaxed

Unit cell a=3.476 b=3.476 c=12.667 alpha=90.00 beta=90.00 gamma=90.00
Space group I4/mmm (No. 139)
Asymmetric unit:
Al1 0.000 0.500 0.250 (multiplicity 4)
Fe1 0.000 0.000 0.000 (multiplicity 2)
Ru1 0.000 0.000 0.396 (multiplicity 4)

Values from the calculation:
The calculation puts the density of states at the Fermi level at 0.5844 states/eV per atom. The total moment comes out at 4.2 μB per formula unit.

***

Run 2
Al2FeRu2 | GGA-PBE | relaxed

Unit cell a=6.766 b=6.766 c=2.982 alpha=90.00 beta=90.00 gamma=90.00
Space group P4/mbm (No. 127)
Asymmetric unit:
Al1 0.136 0.364 0.000 (multiplicity 4)
Fe1 0.000 0.000 0.000 (multiplicity 2)
Ru1 0.164 0.664 0.500 (multiplicity 4)

Values from the calculation:
The calculation puts the density of states at the Fermi level at 1.8641 states/eV per atom. The total moment comes out at 0.0 μB per formula unit.

***

Verdict on stability: run 1 comes out at the bottom.

***

Run 1
AlFe2S4 | GGA-PBE | relaxed

Unit cell a=6.843 b=6.946 c=9.854 alpha=90.00 beta=90.00 gamma=90.00
Space group Imma (No. 74)
Asymmetric unit:
Al1 0.000 0.000 0.000 (multiplicity 4)
Fe1 0.000 0.250 0.374 (multiplicity 4)
Fe2 0.250 0.250 0.750 (multiplicity 4)
S1 0.000 0.023 0.757 (multiplicity 8)
S2 0.240 0.250 0.984 (multiplicity 8)

Values from the calculation:
The calculation puts the density of states at the Fermi level at 0.8447 states/eV per atom. The total moment comes out at 5.0 μB per formula unit.

***

Run 2
AlFe2S4 | GGA-PBE | relaxed

Unit cell a=6.946 b=6.996 c=9.555 alpha=90.00 beta=90.00 gamma=90.00
Space group Imma (No. 74)
Asymmetric unit:
Al1 0.000 0.000 0.000 (multiplicity 4)
Fe1 0.000 0.000 0.500 (multiplicity 4)
Fe2 0.250 0.250 0.250 (multiplicity 4)
S1 0.000 0.031 0.248 (multiplicity 8)
S2 0.244 0.250 0.008 (multiplicity 8)

Values from the calculation:
The calculation puts the density of states at the Fermi level at 0.7583 states/eV per atom. The total moment comes out at 5.0 μB per formula unit.

***

Verdict on stability: run 2 comes out at the bottom.

***

Run 1
AlFeSb2Te | GGA-PBE | relaxed

Unit cell a=4.753 b=4.753 c=5.750 alpha=90.00 beta=90.00 gamma=90.00
Space group P4/mmm (No. 123)
Asymmetric unit:
Al1 0.000 0.000 0.000 (multiplicity 1)
Fe1 0.500 0.500 0.500 (multiplicity 1)
Sb1 0.000 0.500 0.500 (multiplicity 2)
Te1 0.500 0.500 0.000 (multiplicity 1)

Values from the calculation:
The calculation puts the density of states at the Fermi level at 0.7281 states/eV per atom. The total moment comes out at 0.2 μB per formula unit.

***

Run 2
AlFeSb2Te | GGA-PBE | relaxed

Unit cell a=5.173 b=5.173 c=5.286 alpha=90.00 beta=90.00 gamma=90.00
Space group P4/mmm (No. 123)
Asymmetric unit:
Al1 0.000 0.000 0.000 (multiplicity 1)
Fe1 0.500 0.500 0.500 (multiplicity 1)
Sb1 0.000 0.500 0.000 (multiplicity 2)
Te1 0.000 0.000 0.500 (multiplicity 1)

Values from the calculation:
The calculation puts the density of states at the Fermi level at 2.0809 states/eV per atom. The total moment comes out at 0.1 μB per formula unit.

***

Verdict on stability: run 2 comes out at the bottom.

***

Run 1
AlFe2SbW | GGA-PBE | relaxed

Unit cell a=4.590 b=4.590 c=5.051 alpha=90.00 beta=90.00 gamma=90.00
Space group P4/mmm (No. 123)
Asymmetric unit:
Al1 0.000 0.000 0.000 (multiplicity 1)
Fe1 0.000 0.500 0.500 (multiplicity 2)
Sb1 0.000 0.000 0.500 (multiplicity 1)
W1 0.500 0.500 0.000 (multiplicity 1)

Values from the calculation:
The calculation puts the density of states at the Fermi level at 1.5252 states/eV per atom. The total moment comes out at 1.9 μB per formula unit.

***

Run 2
AlFe2SbW | GGA-PBE | relaxed

Unit cell a=4.526 b=4.526 c=5.171 alpha=90.00 beta=90.00 gamma=90.00
Space group P4/mmm (No. 123)
Asymmetric unit:
Al1 0.000 0.000 0.000 (multiplicity 1)
Fe1 0.000 0.500 0.500 (multiplicity 2)
Sb1 0.500 0.500 0.000 (multiplicity 1)
W1 0.500 0.500 0.500 (multiplicity 1)

Values from the calculation:
The calculation puts the density of states at the Fermi level at 1.9781 states/eV per atom. The total moment comes out at 0.2 μB per formula unit.

***

Verdict on stability: run 1 comes out at the bottom.

***

Run 1
ScAlFe3 | GGA-PBE | relaxed

Unit cell a=4.355 b=4.355 c=4.355 alpha=90.00 beta=90.00 gamma=90.00
Space group Pm-3m (No. 221)
Asymmetric unit:
Sc1 0.000 0.000 0.000 (multiplicity 1)
Al1 0.500 0.500 0.500 (multiplicity 1)
Fe1 0.000 0.500 0.500 (multiplicity 3)

Values from the calculation:
The calculation puts the density of states at the Fermi level at 1.6586 states/eV per atom. The total moment comes out at 5.2 μB per formula unit.

***

Run 2
ScAlFe3 | GGA-PBE | relaxed

Unit cell a=4.398 b=4.398 c=4.398 alpha=90.00 beta=90.00 gamma=90.00
Space group Pm-3m (No. 221)
Asymmetric unit:
Sc1 0.000 0.000 0.000 (multiplicity 1)
Al1 0.500 0.500 0.500 (multiplicity 1)
Fe1 0.000 0.000 0.500 (multiplicity 3)

Values from the calculation:
The calculation puts the density of states at the Fermi level at 0.8804 states/eV per atom. The total moment comes out at 5.8 μB per formula unit.

***

Verdict on stability: run 2 comes out at the bottom.

***

Run 1
AlFe2Se | GGA-PBE | relaxed

Unit cell a=8.177 b=3.089 c=4.474 alpha=90.00 beta=99.30 gamma=90.00
Space group C2/m (No. 12)
Asymmetric unit:
Al1 0.000 0.000 0.000 (multiplicity 2)
Fe1 0.249 0.500 0.238 (multiplicity 4)
Se1 0.000 0.500 0.500 (multiplicity 2)

Values from the calculation:
The calculation puts the density of states at the Fermi level at 0.7179 states/eV per atom. The total moment comes out at 4.3 μB per formula unit.

***

Run 2
AlFe2Se | GGA-PBE | relaxed

Unit cell a=8.570 b=3.083 c=4.215 alpha=90.00 beta=106.45 gamma=90.00
Space group Cm (No. 8)
Asymmetric unit:
Al1 0.000 0.000 0.000 (multiplicity 2)
Fe1 0.002 0.500 0.493 (multiplicity 2)
Fe2 0.241 0.500 0.151 (multiplicity 2)
Se1 0.238 0.000 0.646 (multiplicity 2)

Values from the calculation:
The calculation puts the density of states at the Fermi level at 0.9403 states/eV per atom. The total moment comes out at 3.4 μB per formula unit.

***

Run 3
AlFe2Se | GGA-PBE | relaxed

Unit cell a=3.0346 b=3.0346 c=22.4819 alpha=90.00 beta=90.00 gamma=120.00
Space group R3m (No. 160, hexagonal axes)
Asymmetric unit:
Al1 0.0000 0.0000 0.0000 (multiplicity 3)
Fe1 0.0000 0.0000 0.2521 (multiplicity 3)
Fe2 0.0000 0.0000 0.5095 (multiplicity 3)
Se1 0.0000 0.0000 0.7666 (multiplicity 3)

Values from the calculation:
The calculation puts the density of states at the Fermi level at 0.3971 states/eV per atom. The total moment comes out at 4.6 μB per formula unit.

***

Run 4
AlFe2Se | GGA-PBE | relaxed

Unit cell a=2.938 b=3.853 c=10.105 alpha=90.00 beta=90.00 gamma=90.00
Space group Imm2 (No. 44)
Asymmetric unit:
Al1 0.000 0.000 0.000 (multiplicity 2)
Fe1 0.000 0.000 0.549 (multiplicity 2)
Fe2 0.000 0.500 0.831 (multiplicity 2)
Se1 0.000 0.500 0.235 (multiplicity 2)

Values from the calculation:
The calculation puts the density of states at the Fermi level at 0.7931 states/eV per atom. The total moment comes out at 3.6 μB per formula unit.

***

Verdict on stability: run 3 comes out at the bottom.

***

Run 1
AlFe2Se | GGA-PBE | relaxed

Unit cell a=3.792 b=3.792 c=7.767 alpha=90.00 beta=90.00 gamma=90.00
Space group I4/mmm (No. 139)
Asymmetric unit:
Al1 0.000 0.000 0.000 (multiplicity 2)
Fe1 0.000 0.500 0.250 (multiplicity 4)
Se1 0.000 0.000 0.500 (multiplicity 2)

Values from the calculation:
The calculation puts the density of states at the Fermi level at 0.8599 states/eV per atom. The total moment comes out at 4.7 μB per formula unit.

***

Run 2
AlFe2Se | GGA-PBE | relaxed

Unit cell a=6.115 b=6.115 c=6.115 alpha=90.00 beta=90.00 gamma=90.00
Space group F-43m (No. 216)
Asymmetric unit:
Al1 0.000 0.000 0.000 (multiplicity 4)
Fe1 0.000 0.000 0.500 (multiplicity 4)
Fe2 0.250 0.250 0.750 (multiplicity 4)
Se1 0.250 0.250 0.250 (multiplicity 4)

Values from the calculation:
The calculation puts the density of states at the Fermi level at 0.5305 states/eV per atom. The total moment comes out at 4.7 μB per formula unit.

***

Verdict on stability: run 2 comes out at the bottom.

***

Run 1
AlFe2Se | GGA-PBE | relaxed

Unit cell a=2.939 b=2.939 c=5.755 alpha=90.00 beta=90.00 gamma=90.00
Space group P4/mmm (No. 123)
Asymmetric unit:
Al1 0.000 0.000 0.000 (multiplicity 1)
Fe1 0.500 0.500 0.254 (multiplicity 2)
Se1 0.000 0.000 0.500 (multiplicity 1)

Values from the calculation:
The calculation puts the density of states at the Fermi level at 0.7248 states/eV per atom. The total moment comes out at 0.0 μB per formula unit.

***

Run 2
AlFe2Se | GGA-PBE | relaxed

Unit cell a=2.925 b=4.375 c=4.221 alpha=90.00 beta=90.28 gamma=90.00
Space group Pm (No. 6)
Asymmetric unit:
Al1 0.000 0.000 0.000 (multiplicity 1)
Fe1 0.003 0.500 0.700 (multiplicity 1)
Fe2 0.501 0.000 0.516 (multiplicity 1)
Se1 0.498 0.500 0.249 (multiplicity 1)

Values from the calculation:
The calculation puts the density of states at the Fermi level at 0.9183 states/eV per atom. The total moment comes out at 3.0 μB per formula unit.

***

Verdict on stability: run 2 comes out at the bottom.

***

Run 1
AlFe2Se | GGA-PBE | relaxed

Unit cell a=2.8866 b=2.8866 c=22.9759 alpha=90.00 beta=90.00 gamma=120.00
Space group R-3m (No. 166, hexagonal axes)
Asymmetric unit:
Al1 0.0000 0.0000 0.0000 (multiplicity 3)
Fe1 0.0000 0.0000 0.2467 (multiplicity 6)
Se1 0.0000 0.0000 0.5000 (multiplicity 3)

Values from the calculation:
The calculation puts the density of states at the Fermi level at 1.1475 states/eV per atom. The total moment comes out at 3.8 μB per formula unit.

***

Run 2
AlFe2Se | GGA-PBE | relaxed

Unit cell a=3.235 b=3.235 c=5.287 alpha=90.00 beta=90.00 gamma=90.00
Space group P4mm (No. 99)
Asymmetric unit:
Al1 0.000 0.000 0.000 (multiplicity 1)
Fe1 0.000 0.000 0.478 (multiplicity 1)
Fe2 0.500 0.500 0.210 (multiplicity 1)
Se1 0.500 0.500 0.696 (multiplicity 1)

Values from the calculation:
The calculation puts the density of states at the Fermi level at 0.4609 states/eV per atom. The total moment comes out at 4.7 μB per formula unit.

***

Run 3
AlFe2Se | GGA-PBE | relaxed

Unit cell a=3.678 b=3.678 c=8.116 alpha=90.00 beta=90.00 gamma=90.00
Space group I-4m2 (No. 119)
Asymmetric unit:
Al1 0.000 0.000 0.000 (multiplicity 2)
Fe1 0.000 0.000 0.500 (multiplicity 2)
Fe2 0.000 0.500 0.750 (multiplicity 2)
Se1 0.000 0.500 0.250 (multiplicity 2)

Values from the calculation:
The calculation puts the density of states at the Fermi level at 0.9943 states/eV per atom. The total moment comes out at 4.6 μB per formula unit.

***

Run 4
AlFe2Se | GGA-PBE | relaxed

Unit cell a=6.955 b=6.955 c=5.223 alpha=90.00 beta=90.00 gamma=90.00
Space group I-42d (No. 122)
Asymmetric unit:
Al1 0.000 0.000 0.000 (multiplicity 4)
Fe1 0.223 0.250 0.625 (multiplicity 8)
Se1 0.000 0.000 0.500 (multiplicity 4)

Values from the calculation:
The calculation puts the density of states at the Fermi level at 1.1590 states/eV per atom. The total moment comes out at 5.4 μB per formula unit.

***

Verdict on stability: run 4 comes out at the bottom.

***

Run 1
Al3FeSe | GGA-PBE | relaxed

Unit cell a=4.879 b=4.879 c=4.879 alpha=90.00 beta=90.00 gamma=90.00
Space group Pm-3m (No. 221)
Asymmetric unit:
Al1 0.000 0.000 0.500 (multiplicity 3)
Fe1 0.500 0.500 0.500 (multiplicity 1)
Se1 0.000 0.000 0.000 (multiplicity 1)

Values from the calculation:
The calculation puts the density of states at the Fermi level at 0.5833 states/eV per atom. The total moment comes out at 2.9 μB per formula unit.

***

Run 2
Al3FeSe | GGA-PBE | relaxed

Unit cell a=4.565 b=4.565 c=4.565 alpha=90.00 beta=90.00 gamma=90.00
Space group Pm-3m (No. 221)
Asymmetric unit:
Al1 0.000 0.000 0.500 (multiplicity 3)
Fe1 0.000 0.000 0.000 (multiplicity 1)
Se1 0.500 0.500 0.500 (multiplicity 1)

Values from the calculation:
The calculation puts the density of states at the Fermi level at 0.7996 states/eV per atom. The total moment comes out at 1.0 μB per formula unit.

***

Verdict on stability: run 1 comes out at the bottom.

***

Run 1
AlFeSe3 | GGA-PBE | relaxed

Unit cell a=4.859 b=4.859 c=4.859 alpha=90.00 beta=90.00 gamma=90.00
Space group Pm-3m (No. 221)
Asymmetric unit:
Al1 0.000 0.000 0.000 (multiplicity 1)
Fe1 0.500 0.500 0.500 (multiplicity 1)
Se1 0.000 0.000 0.500 (multiplicity 3)

Values from the calculation:
The calculation puts the density of states at the Fermi level at 2.6983 states/eV per atom. The total moment comes out at 3.8 μB per formula unit.

***

Run 2
AlFeSe3 | GGA-PBE | relaxed

Unit cell a=4.712 b=4.712 c=4.712 alpha=90.00 beta=90.00 gamma=90.00
Space group Pm-3m (No. 221)
Asymmetric unit:
Al1 0.000 0.000 0.000 (multiplicity 1)
Fe1 0.500 0.500 0.500 (multiplicity 1)
Se1 0.000 0.500 0.500 (multiplicity 3)

Values from the calculation:
The calculation puts the density of states at the Fermi level at 1.5485 states/eV per atom. The total moment comes out at 0.0 μB per formula unit.

***

Verdict on stability: run 1 comes out at the bottom.